## a
A relaxed structure of Ti3AuC, computed with PBE-GGA.

a = 4.826 Å, b = 5.928 Å, c = 5.169 Å
α = 90.00°, β = 91.99°, γ = 90.00°
Atoms (fractional coordinates):
Ti 0.238 0.250 0.148
Ti 0.253 0.001 0.654
Ti 0.253 0.499 0.654
Ti 0.747 0.501 0.346
Ti 0.747 0.999 0.346
Ti 0.762 0.750 0.852
Au 0.234 0.750 0.146
Au 0.766 0.250 0.854
C 0.488 0.250 0.483
C 0.512 0.750 0.517



## b
A relaxed structure of Ti3AuC, computed with PBE-GGA.

a = 7.130 Å, b = 3.105 Å, c = 7.463 Å
α = 90.00°, β = 116.58°, γ = 90.00°
Atoms (fractional coordinates):
Ti 0.062 0.250 0.198
Ti 0.193 0.750 0.594
Ti 0.326 0.250 0.983
Ti 0.674 0.750 0.017
Ti 0.807 0.250 0.406
Ti 0.938 0.750 0.802
Au 0.439 0.750 0.317
Au 0.561 0.250 0.683
C 0.063 0.250 0.696
C 0.937 0.750 0.304



Most stable pick: b. Distance to second place: 161 meV per atom.



## a
A relaxed structure of GeMoIr, computed with PBE-GGA.

a = 4.205 Å, b = 4.205 Å, c = 4.205 Å
α = 60.00°, β = 60.00°, γ = 60.00°
Atoms (fractional coordinates):
Ge 0.000 0.000 0.000
Mo 0.500 0.500 0.500
Ir 0.750 0.750 0.750



## b
A relaxed structure of GeMoIr, computed with PBE-GGA.

a = 4.306 Å, b = 4.306 Å, c = 2.814 Å
α = 90.00°, β = 90.00°, γ = 120.00°
Atoms (fractional coordinates):
Ge 0.000 0.000 0.000
Mo 0.667 0.333 0.500
Ir 0.333 0.667 0.000



Most stable pick: b. Distance to second place: 37 meV per atom.



## a
A relaxed structure of LaOs2W, computed with PBE-GGA.

a = 5.991 Å, b = 5.991 Å, c = 5.991 Å
α = 152.02°, β = 131.75°, γ = 56.70°
Atoms (fractional coordinates):
La 0.000 0.000 0.000
Os 0.511 0.511 0.000
Os 0.720 0.220 0.500
W 0.288 0.788 0.500



## b
A relaxed structure of LaOs2W, computed with PBE-GGA.

a = 9.984 Å, b = 9.984 Å, c = 9.984 Å
α = 16.60°, β = 16.60°, γ = 16.60°
Atoms (fractional coordinates):
La 0.000 0.000 0.000
Os 0.239 0.239 0.239
Os 0.761 0.761 0.761
W 0.500 0.500 0.500



Most stable pick: b. Distance to second place: 15 meV per atom.



## a
A relaxed structure of DyYCuNi, computed with PBE-GGA.

a = 4.387 Å, b = 5.452 Å, c = 5.452 Å
α = 39.82°, β = 90.00°, γ = 90.00°
Atoms (fractional coordinates):
Dy 0.000 0.000 0.000
Y 0.500 0.278 0.278
Cu 0.000 0.710 0.710
Ni 0.500 0.566 0.566



## b
A relaxed structure of DyYCuNi, computed with PBE-GGA.

a = 4.847 Å, b = 4.847 Å, c = 4.847 Å
α = 60.00°, β = 60.00°, γ = 60.00°
Atoms (fractional coordinates):
Dy 0.000 0.000 0.000
Y 0.500 0.500 0.500
Cu 0.750 0.750 0.750
Ni 0.250 0.250 0.250



Most stable pick: a. Distance to second place: 42 meV per atom.



## a
A relaxed structure of Sc3CdC, computed with PBE-GGA.

a = 8.373 Å, b = 8.373 Å, c = 5.709 Å
α = 91.44°, β = 91.44°, γ = 100.37°
Atoms (fractional coordinates):
Sc 0.049 0.181 0.424
Sc 0.068 0.693 0.068
Sc 0.181 0.049 0.924
Sc 0.206 0.564 0.579
Sc 0.307 0.932 0.432
Sc 0.436 0.794 0.921
Sc 0.564 0.206 0.079
Sc 0.693 0.068 0.568
Sc 0.794 0.436 0.421
Sc 0.819 0.951 0.076
Sc 0.932 0.307 0.932
Sc 0.951 0.819 0.576
Cd 0.302 0.437 0.090
Cd 0.437 0.302 0.590
Cd 0.563 0.698 0.410
Cd 0.698 0.563 0.910
C 0.065 0.935 0.250
C 0.199 0.801 0.750
C 0.801 0.199 0.250
C 0.935 0.065 0.750



## b
A relaxed structure of Sc3CdC, computed with PBE-GGA.

a = 3.782 Å, b = 3.782 Å, c = 7.999 Å
α = 90.00°, β = 90.00°, γ = 90.00°
Atoms (fractional coordinates):
Sc 0.000 0.000 0.000
Sc 0.000 0.500 0.705
Sc 0.500 0.000 0.705
Cd 0.000 0.000 0.379
C 0.500 0.500 0.868



Most stable pick: a. Distance to second place: 678 meV per atom.



## a
A relaxed structure of InGaIBr, computed with PBE-GGA.

a = 8.555 Å, b = 8.555 Å, c = 8.555 Å
α = 31.00°, β = 31.00°, γ = 31.00°
Atoms (fractional coordinates):
In 0.000 0.000 0.000
Ga 0.823 0.823 0.823
I 0.237 0.237 0.237
Br 0.415 0.415 0.415



## b
A relaxed structure of InGaIBr, computed with PBE-GGA.

a = 5.707 Å, b = 5.707 Å, c = 5.707 Å
α = 60.00°, β = 60.00°, γ = 60.00°
Atoms (fractional coordinates):
In 0.000 0.000 0.000
Ga 0.500 0.500 0.500
I 0.750 0.750 0.750
Br 0.250 0.250 0.250



Most stable pick: a. Distance to second place: 62 meV per atom.



## a
A relaxed structure of CaFeIr2, computed with PBE-GGA.

a = 4.516 Å, b = 4.516 Å, c = 4.516 Å
α = 60.00°, β = 60.00°, γ = 60.00°
Atoms (fractional coordinates):
Ca 0.000 0.000 0.000
Fe 0.500 0.500 0.500
Ir 0.250 0.250 0.250
Ir 0.750 0.750 0.750



## b
A relaxed structure of CaFeIr2, computed with PBE-GGA.

a = 5.802 Å, b = 5.802 Å, c = 5.802 Å
α = 101.72°, β = 101.72°, γ = 126.43°
Atoms (fractional coordinates):
Ca 0.000 0.000 0.000
Ca 0.750 0.250 0.500
Fe 0.250 0.750 0.500
Fe 0.500 0.500 0.000
Ir 0.192 0.625 0.067
Ir 0.375 0.442 0.567
Ir 0.558 0.125 0.933
Ir 0.875 0.808 0.433



Most stable pick: a. Distance to second place: 194 meV per atom.



## a
A relaxed structure of B5C7, computed with PBE-GGA.

a = 4.442 Å, b = 4.442 Å, c = 7.945 Å
α = 116.03°, β = 116.03°, γ = 34.73°
Atoms (fractional coordinates):
B 0.000 0.000 0.000
B 0.133 0.133 0.252
B 0.275 0.275 0.121
B 0.516 0.516 0.446
B 0.669 0.669 0.854
C 0.166 0.166 0.720
C 0.328 0.328 0.686
C 0.492 0.492 0.876
C 0.659 0.659 0.373
C 0.826 0.826 0.568
C 0.848 0.848 0.082
C 0.990 0.990 0.538



## b
A relaxed structure of B5C7, computed with PBE-GGA.

a = 4.623 Å, b = 4.623 Å, c = 8.118 Å
α = 119.18°, β = 119.18°, γ = 33.65°
Atoms (fractional coordinates):
B 0.000 0.000 0.000
B 0.025 0.025 0.390
B 0.310 0.310 0.062
B 0.606 0.606 0.705
B 0.694 0.694 0.344
C 0.116 0.116 0.224
C 0.226 0.226 0.839
C 0.407 0.407 0.673
C 0.413 0.413 0.868
C 0.606 0.606 0.505
C 0.817 0.817 0.566
C 0.896 0.896 0.166



Most stable pick: a. Distance to second place: 59 meV per atom.